Density functional theory data (PBE-GGA) for a geometry-optimized SrCa2W structure.

Lattice parameters (Å, degrees): 4.8160 4.8160 23.6393 90.00 90.00 90.00
Space group I-42d (No. 122)
Symmetry-distinct sites (fractional):
Sr 0.0000 0.0000 0.0000
Ca 0.2237 0.7500 0.6250
W 0.0000 0.0000 0.5000

Output
The calculation puts the density at 4.3 g cm⁻³. The formation energy comes out at 5.05 eV per formula unit. The value obtained for the calculated volume is 34.3 Å³ per atom. As for the density of states at the Fermi level: 1.1580 states/eV/atom.

Density functional theory data (PBE-GGA) for a geometry-optimized Ho2Si2Ag structure.

Lattice parameters (Å, degrees): 6.9635 6.9635 4.2489 90.00 90.00 90.00
Space group P4/mbm (No. 127)
Symmetry-distinct sites (fractional):
Ho 0.1760 0.3240 0.0000
Si 0.1213 0.6213 0.5000
Ag 0.0000 0.0000 0.5000

Output
As for the total energy: -5.2376 eV/atom. The calculation puts the density at 8.0 g cm⁻³. The value obtained for the calculated volume is 20.6 Å³ per atom. As for the density of states at the Fermi level: 0.4363 states/eV/atom.

Density functional theory data (PBE-GGA) for a geometry-optimized NbPd2PtRh2 structure.

Lattice parameters (Å, degrees): 5.2070 5.4183 6.8021 90.00 98.27 90.00
Space group P2_1/m (No. 11)
Symmetry-distinct sites (fractional):
Nb 0.2105 0.2500 0.1846
Pd 0.3161 0.0030 0.8160
Pt 0.1651 0.7500 0.1316
Rh 0.0002 0.2500 0.4957
Rh 0.4950 0.7500 0.4911

Output
The calculation puts the density at 12.4 g cm⁻³. The formation energy comes out at -0.98 eV per formula unit. The value obtained for the calculated volume is 15.8 Å³ per atom. As for the density of states at the Fermi level: 1.1280 states/eV/atom.

Density functional theory data (PBE-GGA) for a geometry-optimized ScSiP2 structure.

Lattice parameters (Å, degrees): 3.6418 3.5183 10.5412 90.00 90.00 90.00
Space group Amm2 (No. 38)
Symmetry-distinct sites (fractional):
Sc 0.0000 0.0000 0.0000
Si 0.5000 0.0000 0.2240
P 0.0000 0.0000 0.7036
P 0.5000 0.0000 0.4341

Output
As for the total energy: -6.2766 eV/atom. The calculation puts the density at 3.3 g cm⁻³. The value obtained for the calculated volume is 16.9 Å³ per atom. As for the density of states at the Fermi level: 0.3804 states/eV/atom.

Density functional theory data (PBE-GGA) for a geometry-optimized KRb2V2 structure.

Lattice parameters (Å, degrees): 11.1218 11.1218 3.5679 90.00 90.00 90.00
Space group P4/mbm (No. 127)
Symmetry-distinct sites (fractional):
K 0.0000 0.0000 0.0000
Rb 0.2115 0.2885 0.5000
V 0.0577 0.5577 0.0000

Output
The calculation puts the density at 2.3 g cm⁻³. The formation energy comes out at 5.31 eV per formula unit. The value obtained for the calculated volume is 44.1 Å³ per atom. As for the density of states at the Fermi level: 1.0939 states/eV/atom.

Density functional theory data (PBE-GGA) for a geometry-optimized Ba2CaAlAg structure.

Lattice parameters (Å, degrees): 6.2870 6.2870 5.7337 90.00 90.00 90.00
Space group P4/mmm (No. 123)
Symmetry-distinct sites (fractional):
Ba 0.0000 0.5000 0.0000
Ca 0.0000 0.0000 0.5000
Al 0.5000 0.5000 0.5000
Ag 0.0000 0.0000 0.0000

Output
The calculation puts the density at 3.3 g cm⁻³. The formation energy comes out at 0.89 eV per formula unit. The value obtained for the calculated volume is 45.3 Å³ per atom. As for the density of states at the Fermi level: 1.2367 states/eV/atom.

Density functional theory data (PBE-GGA) for a geometry-optimized LaInAg2 structure.

Lattice parameters (Å, degrees): 5.1286 5.1384 7.2948 90.00 90.00 90.00
Space group Imm2 (No. 44)
Symmetry-distinct sites (fractional):
La 0.0000 0.0000 0.0000
In 0.0000 0.5000 0.2495
Ag 0.0000 0.0000 0.4998
Ag 0.0000 0.5000 0.7507

Output
The calculation puts the density at 8.1 g cm⁻³. The formation energy comes out at -1.02 eV per formula unit. The value obtained for the calculated volume is 24.0 Å³ per atom. As for the density of states at the Fermi level: 0.7129 states/eV/atom.

Density functional theory data (PBE-GGA) for a geometry-optimized HgPPd2 structure.

Lattice parameters (Å, degrees): 3.1291 3.1291 23.9530 90.00 90.00 120.00
Space group R-3m (No. 166, hexagonal axes)
Symmetry-distinct sites (fractional):
Hg 0.0000 0.0000 0.0000
P 0.0000 0.0000 0.5000
Pd 0.0000 0.0000 0.2360

Output
The calculation puts the density at 10.9 g cm⁻³. The formation energy comes out at -0.74 eV per formula unit. The value obtained for the calculated volume is 16.9 Å³ per atom. As for the density of states at the Fermi level: 0.5711 states/eV/atom.

Density functional theory data (PBE-GGA) for a geometry-optimized CsRb2HfF6 structure.

Lattice parameters (Å, degrees): 10.1137 10.1137 10.1137 90.00 90.00 90.00
Space group Fm-3m (No. 225)
Symmetry-distinct sites (fractional):
Cs 0.0000 0.0000 0.0000
Rb 0.2500 0.2500 0.2500
Hf 0.0000 0.0000 0.5000
F 0.0000 0.0000 0.2999

Output
As for the total energy: -5.4356 eV/atom. The calculation puts the density at 3.8 g cm⁻³. The value obtained for the calculated volume is 25.9 Å³ per atom. As for the density of states at the Fermi level: 0.2296 states/eV/atom.

Density functional theory data (PBE-GGA) for a geometry-optimized ZrTi2AgN structure.

Lattice parameters (Å, degrees): 4.1709 4.1709 4.5962 90.00 90.00 90.00
Space group P4/mmm (No. 123)
Symmetry-distinct sites (fractional):
Zr 0.0000 0.0000 0.0000
Ti 0.0000 0.5000 0.5000
Ag 0.5000 0.5000 0.0000
N 0.5000 0.5000 0.5000

Output
As for the total energy: -7.3508 eV/atom. The calculation puts the density at 6.4 g cm⁻³. The value obtained for the calculated volume is 16.0 Å³ per atom. As for the density of states at the Fermi level: 1.3741 states/eV/atom.

Density functional theory data (PBE-GGA) for a geometry-optimized CaAsP structure.

Lattice parameters (Å, degrees): 3.6781 10.6247 6.7491 90.00 90.00 90.00
Space group Cmc2_1 (No. 36)
Symmetry-distinct sites (fractional):
Ca 0.0000 0.1585 0.0000
As 0.0000 0.4540 0.1672
P 0.0000 0.1201 0.4609

Output
The calculation puts the density at 3.7 g cm⁻³. The formation energy comes out at -2.02 eV per formula unit. The value obtained for the calculated volume is 22.0 Å³ per atom. As for the density of states at the Fermi level: 0.1356 states/eV/atom.

Density functional theory data (PBE-GGA) for a geometry-optimized K2NdSnSe4 structure.

Lattice parameters (Å, degrees): 7.4754 4.2678 8.0943 90.00 107.61 90.00
Space group P2/m (No. 10)
Symmetry-distinct sites (fractional):
K 0.0000 0.0000 0.0000
K 0.5000 0.5000 0.0000
Nd 0.0000 0.5000 0.5000
Sn 0.5000 0.0000 0.5000
Se 0.2428 0.0000 0.7086
Se 0.2699 0.5000 0.2944

Output
As for the total energy: -4.3389 eV/atom. The calculation puts the density at 4.4 g cm⁻³. The value obtained for the calculated volume is 30.8 Å³ per atom. As for the density of states at the Fermi level: 0.4005 states/eV/atom.

- What is the density in the first record?
  4.3 g cm⁻³